Computed, not measured: a relaxed LaGaH crystal at the PBE level of DFT.

The structure in POSCAR format:
```
LaGaH
1.0
3.944 -0.050 -0.839
1.930 3.444 -0.840
-2.045 -1.187 9.824
H Ga La
2 2 2
Cartesian
1.161 0.669 0.560 H
2.668 1.538 7.585 H
3.742 2.158 2.899 Ga
0.087 0.049 5.246 Ga
5.227 3.017 0.135 La
-1.398 -0.810 8.010 La
```

symmetry = R-3m, No. 166
excess energy over the best structure of this formula in the dataset = 0.199 eV/atom